[1]
Computed, not measured: crystalline NdCd3Pb at its relaxed geometry at the GGA-PBE level of DFT.

```
NdCd3Pb
1.0
-0.134 -2.845 4.342
-1.178 -4.371 -2.900
10.179 -4.361 -2.543
Cd Pb Nd
6 2 2
Cartesian
0.000 0.000 0.000
5.220 -5.231 -1.714
-0.067 -1.423 2.171
4.632 -7.413 -3.162
3.648 -6.346 0.612
4.236 -4.164 2.060
1.115 -4.684 1.623
7.752 -6.893 -2.725
1.737 -5.678 -2.114
7.130 -5.899 1.012
```

Computed properties:
As for the total energy: -2.191 eV/atom. For the density of states at the Fermi level, the calculation gives 8.13 states/eV/cell. Its calculated formation energy is 0.053 eV/atom. As for the space group: Cmcm.

[2]
Computed, not measured: crystalline CaTmLuSc at its relaxed geometry at the GGA-PBE level of DFT.

```
CaTmLuSc
1.0
-4.346 3.375 -0.754
-3.910 0.411 3.922
-0.452 4.656 2.993
Lu Sc Tm Ca
1 1 1 1
Cartesian
-2.177 2.111 1.540
0.000 0.000 0.000
-6.531 6.332 4.621
-4.354 4.221 3.081
```

Computed properties:
As for the total energy: -4.123 eV/atom. For the density of states at the Fermi level, the calculation gives 7.69 states/eV/cell. Its calculated formation energy is 0.208 eV/atom. As for the space group: F-43m.

[3]
Computed, not measured: crystalline ZnOs2WC at its relaxed geometry at the GGA-PBE level of DFT.

```
ZnOs2WC
1.0
-1.704 0.484 -3.668
-3.407 -1.865 1.337
-1.508 3.598 1.175
W C Os Zn
1 1 2 1
Cartesian
-1.703 -0.932 0.669
0.000 0.000 0.000
-0.852 0.242 -1.834
-0.754 1.799 0.587
-3.310 1.108 -0.578
```

Computed properties:
As for the total energy: -8.714 eV/atom. For the density of states at the Fermi level, the calculation gives 3.56 states/eV/cell. Its calculated formation energy is 0.468 eV/atom. As for the space group: P4/mmm.

[4]
Computed, not measured: crystalline TiOs2W at its relaxed geometry at the GGA-PBE level of DFT.

```
TiOs2W
1.0
-1.824 4.212 3.524
-4.775 -3.050 1.173
-0.739 -1.817 6.540
Os Ti W
4 2 2
Cartesian
-3.388 -1.856 2.790
-6.353 -0.362 9.021
-3.004 -0.911 6.660
-1.931 1.819 4.002
-3.300 0.581 2.349
-4.407 -2.143 5.031
-2.931 1.488 6.206
0.000 0.000 0.000
```

Computed properties:
As for the total energy: -9.447 eV/atom. For the density of states at the Fermi level, the calculation gives 11.46 states/eV/cell. Its calculated formation energy is 1.380 eV/atom. As for the space group: I-42d.

[5]
Computed, not measured: crystalline CdSb2Cl at its relaxed geometry at the GGA-PBE level of DFT.

```
CdSb2Cl
1.0
3.921 0.000 0.000
0.000 3.921 0.000
0.000 0.000 7.482
Sb Cd Cl
2 1 1
Cartesian
0.000 0.000 0.565
1.961 1.961 1.727
0.000 0.000 3.788
1.961 1.961 5.143
```

Computed properties:
As for the total energy: -2.816 eV/atom. For the uncorrected formation energy, the calculation gives -0.064 eV per atom. For the density of states at the Fermi level, the calculation gives 1.28 states/eV/cell. As for the space group: P4mm. The energy above the lowest structure with this stoichiometry comes out at 0.879 eV/f.u.

[6]
Computed, not measured: crystalline NiAgBiPd at its relaxed geometry at the GGA-PBE level of DFT.

```
NiAgBiPd
1.0
-3.854 2.021 -1.603
-2.958 -2.411 -2.634
-4.139 -1.230 1.692
Bi Ni Pd Ag
1 1 1 1
Cartesian
-8.214 -1.216 -1.909
-5.476 -0.810 -1.273
0.000 0.000 0.000
-2.738 -0.405 -0.636
```

Computed properties:
As for the total energy: -4.401 eV/atom. For the density of states at the Fermi level, the calculation gives 3.00 states/eV/cell. Its calculated formation energy is 0.025 eV/atom. As for the space group: F-43m.

[7]
Computed, not measured: crystalline NaLaP2O at its relaxed geometry at the GGA-PBE level of DFT.

```
NaLaP2O
1.0
-0.669 -4.556 1.487
2.005 1.098 4.265
-3.855 1.067 1.537
P O Na La
2 1 1 1
Cartesian
1.002 0.549 2.133
-0.334 -2.278 0.743
-1.928 0.534 0.769
0.000 0.000 0.000
-1.260 -1.196 3.645
```

Computed properties:
As for the total energy: -4.500 eV/atom. For the uncorrected formation energy, the calculation gives -0.095 eV per atom. For the density of states at the Fermi level, the calculation gives 3.49 states/eV/cell. As for the space group: P4/mmm. The energy above the lowest structure with this stoichiometry comes out at 1.136 eV/f.u.

[8]
Computed, not measured: crystalline Al2Zn2In at its relaxed geometry at the GGA-PBE level of DFT.

```
Al2Zn2In
1.0
8.124 0.000 0.000
0.000 8.124 0.000
0.000 0.000 2.827
In Zn Al
2 4 4
Cartesian
0.000 0.000 0.000
4.062 4.062 0.000
1.361 2.701 0.000
6.763 5.423 0.000
5.423 1.361 0.000
2.701 6.763 0.000
3.024 1.038 1.413
7.086 3.024 1.413
1.038 5.099 1.413
5.099 7.086 1.413
```

Computed properties:
As for the total energy: -2.445 eV/atom. For the density of states at the Fermi level, the calculation gives 3.82 states/eV/cell. Its calculated formation energy is 0.109 eV/atom. As for the space group: P4/mbm.

[9]
Computed, not measured: crystalline Ba2LiAl at its relaxed geometry at the GGA-PBE level of DFT.

```
Ba2LiAl
1.0
-4.604 7.181 -3.879
-8.162 -4.023 2.241
-6.363 3.343 2.421
Al Ba Li
2 4 2
Cartesian
0.000 0.000 0.000
-8.675 6.051 -1.139
-9.529 3.706 1.193
-7.250 -0.807 1.535
-15.972 5.256 0.390
-5.505 4.847 -1.554
-6.383 1.579 -0.819
-10.454 0.450 1.921
```

Computed properties:
As for the total energy: -2.098 eV/atom. For the density of states at the Fermi level, the calculation gives 7.11 states/eV/cell. Its calculated formation energy is 0.278 eV/atom. As for the space group: I-42d.

[10]
Computed, not measured: crystalline Sc2Mn at its relaxed geometry at the GGA-PBE level of DFT.

```
Sc2Mn
1.0
0.908 2.123 7.474
-3.305 0.068 -7.089
-2.975 -3.492 1.353
Sc Mn
4 2
Cartesian
-2.298 0.049 -0.700
-3.074 -1.350 2.437
-4.344 -1.970 -1.954
-1.027 0.668 3.692
-3.789 -0.678 -5.854
-1.582 -0.623 7.592
```

Computed properties:
As for the total energy: -7.211 eV/atom. For the density of states at the Fermi level, the calculation gives 7.64 states/eV/cell. Its calculated formation energy is 0.067 eV/atom. As for the space group: Cmcm.

[11]
Computed, not measured: crystalline LiTb2Ga3Ni4 at its relaxed geometry at the GGA-PBE level of DFT.

```
LiTb2Ga3Ni4
1.0
3.824 0.000 0.000
0.000 3.824 0.000
0.000 0.000 11.126
Ni Ga Tb Li
4 3 2 1
Cartesian
0.000 1.912 3.893
0.000 0.000 0.000
1.912 1.912 0.000
1.912 0.000 7.233
1.912 0.000 9.680
0.000 1.912 1.446
0.000 0.000 5.563
1.912 0.000 2.847
0.000 1.912 8.279
1.912 1.912 5.563
```

Computed properties:
As for the total energy: -4.820 eV/atom. For the density of states at the Fermi level, the calculation gives 4.97 states/eV/cell. Its calculated formation energy is -0.482 eV/atom. As for the space group: P-4m2.

[12]
Computed, not measured: crystalline TbCd2In at its relaxed geometry at the GGA-PBE level of DFT.

```
TbCd2In
1.0
-2.921 1.365 -3.486
1.737 -3.194 -2.706
-3.123 -2.940 1.466
Tb Cd In
1 2 1
Cartesian
-2.154 -2.385 -2.363
0.869 -1.597 -1.353
-1.561 -1.470 0.733
-1.461 0.683 -1.743
```

Computed properties:
As for the total energy: -2.627 eV/atom. For the density of states at the Fermi level, the calculation gives 3.68 states/eV/cell. Its calculated formation energy is -0.327 eV/atom. As for the space group: P4/mmm. The energy above the lowest structure with this stoichiometry comes out at 0.000 eV/f.u.

[13]
Computed, not measured: crystalline Cr2NiSe at its relaxed geometry at the GGA-PBE level of DFT.

```
Cr2NiSe
1.0
3.767 0.000 0.000
0.000 3.766 0.000
0.000 0.000 3.610
Se Cr Ni
1 2 1
Cartesian
0.000 1.883 1.805
1.883 1.883 0.000
0.000 0.000 0.000
1.883 0.000 1.805
```

Computed properties:
As for the total energy: -6.855 eV/atom. For the uncorrected formation energy, the calculation gives 0.273 eV per atom. For the density of states at the Fermi level, the calculation gives 2.21 states/eV/cell. As for the space group: P4/mmm.